[1]
A geometry-optimized La2Nd3Sm8 structure, computed with PBE.

The calculated density is 6981 kg/m3. Its energy of formation is 0.152 eV/atom. As for the energy above the most stable polymorph in this dataset: 0 meV per atom. The density of states at the Fermi level is 41.1 states/eV per cell. As for the volume: 35.0 Å³ per atom.

a = 13.3221 Å, b = 11.8988 Å, c = 6.2504 Å
α = 90.00°, β = 113.26°, γ = 90.00°
With the nearest neighbours (Å) after each atom.
Space group C2/m (No. 12)
Inequivalent atoms, fractional coordinates:
La1 0.2059 0.0000 0.3522 (multiplicity 4)  8 Sm 3.32-3.68, 1 Nd 3.65
Nd1 0.0000 0.2599 0.0000 (multiplicity 4)  6 Sm 3.48-3.61
Nd2 0.0000 0.5000 0.5000 (multiplicity 2)  2 Sm 3.22
Sm1 0.0612 0.0000 0.7802 (multiplicity 4)  4 Sm 3.23-3.48, 2 La 3.32, 2 Nd 3.60
Sm2 0.1564 0.5000 0.0463 (multiplicity 4)  3 Nd 3.22-3.48, 1 La 3.47, 1 Sm 3.48
Sm3 0.1728 0.2450 0.6787 (multiplicity 8)  4 Sm 3.44-3.72, 2 La 3.48-3.68, 2 Nd 3.61-3.70

---

[2]
A geometry-optimized Sr3LiCa structure, computed with PBE.

The calculated density is 2110 kg/m3. Its energy of formation is 0.149 eV/atom. As for the energy above the most stable polymorph in this dataset: 108 meV per atom. The density of states at the Fermi level is 12.2 states/eV per cell. As for the volume: 48.8 Å³ per atom.

a = 4.1375 Å, b = 11.5797 Å, c = 10.1824 Å
α = 90.00°, β = 90.01°, γ = 90.00°
With the nearest neighbours (Å) after each atom.
Space group P2_1/m (No. 11)
Inequivalent atoms, fractional coordinates:
Sr1 0.0004 0.2500 0.0596 (multiplicity 2)  1 Li 3.19
Sr2 0.4994 0.0184 0.7233 (multiplicity 4)  2 Li 3.39-3.40
Li1 0.0011 0.7500 0.2541 (multiplicity 2)  1 Ca 3.09, 5 Sr 3.19-3.40
Ca1 0.0006 0.2500 0.4430 (multiplicity 2)  1 Li 3.09

---

Please write out number 1 again, unchanged.
A geometry-optimized La2Nd3Sm8 structure, computed with PBE.

The calculated density is 6981 kg/m3. Its energy of formation is 0.152 eV/atom. As for the energy above the most stable polymorph in this dataset: 0 meV per atom. The density of states at the Fermi level is 41.1 states/eV per cell. As for the volume: 35.0 Å³ per atom.

a = 13.3221 Å, b = 11.8988 Å, c = 6.2504 Å
α = 90.00°, β = 113.26°, γ = 90.00°
With the nearest neighbours (Å) after each atom.
Space group C2/m (No. 12)
Inequivalent atoms, fractional coordinates:
La1 0.2059 0.0000 0.3522 (multiplicity 4)  8 Sm 3.32-3.68, 1 Nd 3.65
Nd1 0.0000 0.2599 0.0000 (multiplicity 4)  6 Sm 3.48-3.61
Nd2 0.0000 0.5000 0.5000 (multiplicity 2)  2 Sm 3.22
Sm1 0.0612 0.0000 0.7802 (multiplicity 4)  4 Sm 3.23-3.48, 2 La 3.32, 2 Nd 3.60
Sm2 0.1564 0.5000 0.0463 (multiplicity 4)  3 Nd 3.22-3.48, 1 La 3.47, 1 Sm 3.48
Sm3 0.1728 0.2450 0.6787 (multiplicity 8)  4 Sm 3.44-3.72, 2 La 3.48-3.68, 2 Nd 3.61-3.70

---

Q: Which of these has the highest energy of formation?
A: La2Nd3Sm8

---

Please write out number 1 again, unchanged.
A geometry-optimized La2Nd3Sm8 structure, computed with PBE.

The calculated density is 6981 kg/m3. Its energy of formation is 0.152 eV/atom. As for the energy above the most stable polymorph in this dataset: 0 meV per atom. The density of states at the Fermi level is 41.1 states/eV per cell. As for the volume: 35.0 Å³ per atom.

a = 13.3221 Å, b = 11.8988 Å, c = 6.2504 Å
α = 90.00°, β = 113.26°, γ = 90.00°
With the nearest neighbours (Å) after each atom.
Space group C2/m (No. 12)
Inequivalent atoms, fractional coordinates:
La1 0.2059 0.0000 0.3522 (multiplicity 4)  8 Sm 3.32-3.68, 1 Nd 3.65
Nd1 0.0000 0.2599 0.0000 (multiplicity 4)  6 Sm 3.48-3.61
Nd2 0.0000 0.5000 0.5000 (multiplicity 2)  2 Sm 3.22
Sm1 0.0612 0.0000 0.7802 (multiplicity 4)  4 Sm 3.23-3.48, 2 La 3.32, 2 Nd 3.60
Sm2 0.1564 0.5000 0.0463 (multiplicity 4)  3 Nd 3.22-3.48, 1 La 3.47, 1 Sm 3.48
Sm3 0.1728 0.2450 0.6787 (multiplicity 8)  4 Sm 3.44-3.72, 2 La 3.48-3.68, 2 Nd 3.61-3.70